[1]
Entry from Alexandria via LeMat-Bulk: crystalline Ce3TmAs4 at its relaxed geometry (PBE).

Unit cell a=8.356 b=11.816 c=4.182 alpha=90.00 beta=90.00 gamma=90.00
Space group Cmmm (No. 65)
One atom of each set of equivalent atoms:
Ce (0.000, 0.000, 0.000) [2 per cell]
Ce (0.250, 0.250, 0.500) [4 per cell]
Tm (0.000, 0.500, 0.000) [2 per cell]
As (0.000, 0.253, 0.000) [4 per cell]
As (0.244, 0.500, 0.500) [4 per cell]

Results
* ΔH_f (0 K): -1.44 eV per atom
* DOS at the Fermi energy: 32.2 states/eV/cell
* excess energy over the best structure of this formula in the dataset: 0.000 eV per atom
* uncorrected energy: -6.545 eV per atom


[2]
Entry from Alexandria via LeMat-Bulk: crystalline CeTmAs2 at its relaxed geometry (PBE).

Unit cell a=4.1058 b=4.1058 c=7.1786 alpha=90.00 beta=90.00 gamma=120.00
Space group P-3m1 (No. 164)
One atom of each set of equivalent atoms:
Ce (0.0000, 0.0000, 0.0000) [1 per cell]
Tm (0.0000, 0.0000, 0.5000) [1 per cell]
As (0.3333, 0.6667, 0.7402) [2 per cell]

Results
* ΔH_f (0 K): -1.28 eV per atom
* DOS at the Fermi energy: 6.0 states/eV/cell
* excess energy over the best structure of this formula in the dataset: 0.186 eV per atom
* uncorrected energy: -6.202 eV per atom


[3]
Entry from Alexandria via LeMat-Bulk: crystalline Ce4TmAs5 at its relaxed geometry (PBE).

Unit cell a=9.359 b=9.359 c=5.927 alpha=90.00 beta=90.00 gamma=90.00
Space group I4/m (No. 87)
One atom of each set of equivalent atoms:
Ce (0.099, 0.700, 0.000) [8 per cell]
Tm (0.000, 0.000, 0.500) [2 per cell]
As (0.000, 0.000, 0.000) [2 per cell]
As (0.099, 0.704, 0.500) [8 per cell]

Results
* ΔH_f (0 K): -1.43 eV per atom
* DOS at the Fermi energy: 41.9 states/eV/cell
* uncorrected energy: -6.577 eV per atom


[4]
Entry from Alexandria via LeMat-Bulk: crystalline CeTmAs2 at its relaxed geometry (PBE).

Unit cell a=4.1303 b=4.1303 c=13.5524 alpha=90.00 beta=90.00 gamma=120.00
Space group P6_3/mmc (No. 194)
One atom of each set of equivalent atoms:
Ce (0.0000, 0.0000, 0.0000) [2 per cell]
Tm (0.3333, 0.6667, 0.2500) [2 per cell]
As (0.3333, 0.6667, 0.6266) [4 per cell]

Results
* ΔH_f (0 K): -1.40 eV per atom
* DOS at the Fermi energy: 9.3 states/eV/cell
* excess energy over the best structure of this formula in the dataset: 0.062 eV per atom
* uncorrected energy: -6.326 eV per atom